Compound: LiTaSi2Ru
Source: Alexandria
Functional: PBE
Structure: optimized geometry

Cell lengths 4.064, 4.064, 4.371 Å; angles 90.00, 90.00, 90.00 degrees
Space group P4/mmm (No. 123)
Inequivalent atoms, fractional coordinates:
Li  0.000  0.000  0.000
Ta  0.000  0.000  0.500
Si  0.000  0.500  0.000
Ru  0.500  0.500  0.500

Properties
Crystal system: tetragonal
Density in kg/m3: 7938
Uncorrected formation energy in eV/f.u.: 4.7
Magnetization in μB per cell: 0.00

Compound: LiTiSiRu
Source: Alexandria
Functional: PBE
Structure: optimized geometry

Cell lengths 5.972, 5.972, 5.972 Å; angles 90.00, 90.00, 90.00 degrees
Space group F-43m (No. 216)
Inequivalent atoms, fractional coordinates:
Li  0.000  0.000  0.000
Ti  0.250  0.250  0.750
Si  0.250  0.250  0.250
Ru  0.000  0.000  0.500

Properties
Crystal system: cubic
Density in kg/m3: 5737
Uncorrected formation energy in eV/f.u.: -2.3
Magnetization in μB per cell: 0.00

Compound: LiTmSiRu
Source: Alexandria
Functional: PBE
Structure: optimized geometry

Cell lengths 6.320, 6.320, 6.320 Å; angles 90.00, 90.00, 90.00 degrees
Space group F-43m (No. 216)
Inequivalent atoms, fractional coordinates:
Li  0.000  0.000  0.000
Tm  0.250  0.250  0.250
Si  0.250  0.250  0.750
Ru  0.000  0.000  0.500

Properties
Crystal system: cubic
Density in kg/m3: 8026
Uncorrected formation energy in eV/f.u.: -1.6
Magnetization in μB per cell: 0.00

Compound: LiVSiRu2
Source: Alexandria
Functional: PBE
Structure: optimized geometry

Cell lengths 4.375, 4.375, 4.126 Å; angles 90.00, 90.00, 90.00 degrees
Space group P4/mmm (No. 123)
Inequivalent atoms, fractional coordinates:
Li  0.000  0.000  0.000
V  0.500  0.500  0.000
Si  0.000  0.000  0.500
Ru  0.000  0.500  0.500

Properties
Crystal system: tetragonal
Density in kg/m3: 6058
Uncorrected formation energy in eV/f.u.: 3.2
Magnetization in μB per cell: 0.15

Compound: LiSiRuW
Source: Alexandria
Functional: PBE
Structure: optimized geometry

Cell lengths 6.020, 6.020, 6.020 Å; angles 90.00, 90.00, 90.00 degrees
Space group F-43m (No. 216)
Inequivalent atoms, fractional coordinates:
Li  0.000  0.000  0.000
Si  0.250  0.250  0.750
Ru  0.250  0.250  0.250
W  0.000  0.000  0.500

Properties
Crystal system: cubic
Density in kg/m3: 9740
Uncorrected formation energy in eV/f.u.: -0.4
Magnetization in μB per cell: 0.00

Compound: LiZrSiRu
Source: Alexandria
Functional: PBE
Structure: optimized geometry

Cell lengths 6.198, 6.198, 6.198 Å; angles 90.00, 90.00, 90.00 degrees
Space group F-43m (No. 216)
Inequivalent atoms, fractional coordinates:
Li  0.000  0.000  0.000
Zr  0.250  0.250  0.750
Si  0.250  0.250  0.250
Ru  0.000  0.000  0.500

Properties
Crystal system: cubic
Density in kg/m3: 6341
Uncorrected formation energy in eV/f.u.: -2.1
Magnetization in μB per cell: 0.00

Compound: LiSmRu4
Source: Alexandria
Functional: PBE
Structure: optimized geometry

Cell lengths 7.455, 7.455, 7.455 Å; angles 90.00, 90.00, 90.00 degrees
Space group F-43m (No. 216)
Inequivalent atoms, fractional coordinates:
Li  0.000  0.000  0.000
Sm  0.250  0.250  0.250
Ru  0.126  0.126  0.626

Properties
Formation enthalpy at 0 K in meV per atom: 100
Crystal system: cubic
Density in kg/m3: 9003
Magnetization in μB per cell: 8.92

Compound: LiSm2Ru
Source: Alexandria
Functional: PBE
Structure: optimized geometry

Cell lengths 3.9732, 3.9732, 25.9025 Å; angles 90.00, 90.00, 120.00 degrees
Space group R-3m (No. 166, hexagonal axes)
Inequivalent atoms, fractional coordinates:
Li  0.0000  0.0000  0.0000
Sm  0.0000  0.0000  0.2267
Ru  0.0000  0.0000  0.5000

Properties
Formation enthalpy at 0 K in meV per atom: -12
Crystal system: trigonal
ΔE to the lowest computed polymorph in meV/atom: 179.9
Density in kg/m3: 5750
Magnetization in μB per cell: 0.00

- Among the records above, which one has the highest density?
  LiSiRuW